{"formula": "YIr2Rh", "functional": "GGA-PBE", "state": "optimized geometry", "cell": [[0.0000, 3.2618, 3.2618], [3.2618, 0.0000, 3.2618], [3.2618, 3.2618, 0.0000]], "species": ["Ir", "Ir", "Rh", "Y"], "frac_coords": [[0.7500, 0.7500, 0.7500], [0.2500, 0.2500, 0.2500], [0.5000, 0.5000, 0.5000], [0.0000, 0.0000, 0.0000]], "formation_energy_ev_per_atom": -0.003, "polymorph_energy_mev_per_atom": 409}

---

{"formula": "Sc6Ge2Te3As", "functional": "GGA-PBE", "state": "optimized geometry", "cell": [[4.0077, 0.0000, 0.0000], [0.0000, 8.1380, 0.2087], [-2.0039, -2.4290, 8.5008]], "species": ["Sc", "Sc", "Sc", "Sc", "Sc", "Sc", "Te", "Te", "Te", "Ge", "Ge", "As"], "frac_coords": [[0.6736, 0.5650, 0.3471], [0.9911, 0.7665, 0.9823], [0.6605, 0.1028, 0.3210], [0.3264, 0.4350, 0.6529], [0.0089, 0.2334, 0.0177], [0.3395, 0.8972, 0.6790], [0.5000, 0.5000, 0.0000], [0.8344, 0.1665, 0.6688], [0.1656, 0.8335, 0.3312], [0.1668, 0.3327, 0.3336], [0.8332, 0.6673, 0.6664], [0.5000, 0.0000, 0.0000]], "formation_energy_uncorrected_ev_per_atom": -1.134}

---

{"formula": "Ba2Li16Ca", "functional": "GGA-PBE", "state": "optimized geometry", "cell": [[-0.4599, 2.1248, 7.7348], [6.7159, -3.6697, 2.4461], [4.8465, 6.3938, -0.4295]], "species": ["Ba", "Ba", "Li", "Li", "Li", "Li", "Li", "Li", "Li", "Li", "Li", "Li", "Li", "Li", "Li", "Li", "Li", "Li", "Ca"], "frac_coords": [[0.6456, 0.6456, 0.6456], [0.3453, 0.3453, 0.3453], [0.1043, 0.1043, 0.1043], [0.6548, 0.6548, 0.1531], [0.3366, 0.8578, 0.3366], [0.0019, 0.2946, 0.7089], [0.1531, 0.6548, 0.6548], [0.8578, 0.3366, 0.3366], [0.3366, 0.3366, 0.8578], [0.4869, 0.0045, 0.0045], [0.2946, 0.0019, 0.7089], [0.0019, 0.7089, 0.2946], [0.6548, 0.1531, 0.6548], [0.7089, 0.2946, 0.0019], [0.0045, 0.0045, 0.4869], [0.0045, 0.4869, 0.0045], [0.7089, 0.0019, 0.2946], [0.2946, 0.7089, 0.0019], [0.9045, 0.9045, 0.9045]], "formation_energy_ev_per_atom": 0.025}

---

{"formula": "Na2NdGeTe4", "functional": "GGA-PBE", "state": "optimized geometry", "cell": [[4.2530, 0.0000, 0.0000], [0.0000, 7.8158, 0.2422], [0.0000, -2.6260, 7.5586]], "species": ["Te", "Te", "Te", "Te", "Ge", "Na", "Na", "Nd"], "frac_coords": [[0.0000, 0.2421, 0.7649], [0.5000, 0.7758, 0.7772], [0.5000, 0.2242, 0.2228], [0.0000, 0.7579, 0.2351], [0.0000, 0.0000, 0.0000], [0.5000, 0.0000, 0.5000], [0.0000, 0.5000, 0.5000], [0.5000, 0.5000, 0.0000]], "formation_energy_uncorrected_ev_per_atom": -0.791}

---

{"formula": "HfBi2BrO", "functional": "GGA-PBE", "state": "optimized geometry", "cell": [[-4.4200, -3.2981, -1.2722], [1.7461, -3.0693, 1.8905], [-2.5315, 1.5316, 4.8247]], "species": ["Bi", "Bi", "O", "Hf", "Br"], "frac_coords": [[0.0000, 0.0000, 0.5000], [0.5000, 0.0000, 0.0000], [0.0000, 0.0000, 0.0000], [0.0000, 0.5000, 0.0000], [0.5000, 0.5000, 0.5000]], "formation_energy_uncorrected_ev_per_atom": -0.392}

---

{"formula": "AlW2Au", "functional": "GGA-PBE", "state": "optimized geometry", "cell": [[-2.0635, -2.5669, 0.9909], [1.9925, -2.5927, -2.5669], [2.8822, -1.0457, 3.2935]], "species": ["W", "W", "Au", "Al"], "frac_coords": [[0.0000, 0.0000, 0.0000], [0.5000, 0.5000, 0.0000], [0.0000, 0.5000, 0.5000], [0.5000, 0.0000, 0.5000]], "formation_energy_ev_per_atom": 0.145}

---

Going through the records in order, we get magnetization values of 1.88, 0.00, 0.00, 0.00, 0.00, 0.00 Bohr magnetons per cell.
Going through the records in order, we get total DFT energy (no corrections) values of -7.89, -6.24, -1.89, -3.86, -5.26, -8.09 eV per atom.